Cs2WI6F | PBE+U | optimized geometry

Properties
Total DFT energy (no corrections) ... -28.11 eV for the cell shown

Geometry as POSCAR:
```
Cs2WI6F
1.0
-4.2414 4.2414 5.5619
4.2414 -4.2414 5.5619
4.2414 4.2414 -5.5619
Cs W I F
2 1 6 1
Cartesian
4.2414 0.0000 2.7809
0.0000 4.2414 2.7809
0.0000 0.0000 0.0000
1.9893 1.9893 0.0000
2.2520 -2.2520 5.5619
0.0000 0.0000 2.7675
0.0000 0.0000 8.3563
-2.2520 2.2520 5.5619
2.2520 2.2520 5.5619
0.0000 0.0000 5.5619
```